# 1
Entry from Alexandria via LeMat-Bulk: a geometry-optimized In12Ga5Bi3 structure (PBE).

Cell lengths 17.1166, 17.1166, 17.1166 Å; angles 90.00, 90.00, 90.00 degrees
Last column: nearest neighbours and their distance in Å.
Space group Ia-3d (No. 230)
One atom of each set of equivalent atoms:
In 0.0269 0.0675 0.6459  2 Ga 2.71-2.79
Ga 0.0000 0.0000 0.0000  6 In 2.79
Ga 0.0000 0.2500 0.3750  4 In 2.71
Bi 0.0000 0.2500 0.1250  8 In 3.18-3.36

Output
M_tot	0.00	μB per formula unit
DFT formation energy	0.142	eV per atom
DFT total energy	-2.8398	eV per atom

# 2
Entry from Alexandria via LeMat-Bulk: a geometry-optimized LiTh2Co12B3 structure (PBE).

Cell lengths 7.5851, 7.5851, 14.1123 Å; angles 90.00, 90.00, 120.00 degrees
Last column: nearest neighbours and their distance in Å.
Space group R-3m (No. 166, hexagonal axes)
One atom of each set of equivalent atoms:
Li 0.0000 0.0000 0.0000  6 Co 2.18
Th 0.0000 0.0000 0.3765  3 Co 2.51
Co 0.0099 0.5050 0.6316  1 B 1.86
Co 0.0628 0.5314 0.8211  2 B 2.02
B 0.0000 0.5000 0.5000  6 Co 1.86-2.02

Output
M_tot	9.46	μB per formula unit
DFT formation energy	0.147	eV per atom
DFT total energy	-6.6334	eV per atom

# 3
Entry from Alexandria via LeMat-Bulk: a geometry-optimized Tm3Ga2Cu9 structure (PBE).

Cell lengths 4.1974, 8.5938, 12.3486 Å; angles 90.00, 90.00, 90.00 degrees
Last column: nearest neighbours and their distance in Å.
Space group Immm (No. 71)
One atom of each set of equivalent atoms:
Tm 0.0000 0.0000 0.0000  12 Cu 2.95-3.17
Tm 0.0000 0.0000 0.2925  12 Cu 2.90-3.15, 2 Ga 3.04
Ga 0.0000 0.1896 0.5000  8 Cu 2.49-2.67
Cu 0.0000 0.2852 0.1328  4 Cu 2.46-2.57, 2 Ga 2.67
Cu 0.0000 0.3569 0.3349  4 Cu 2.46-2.57, 1 Ga 2.49
Cu 0.0000 0.5000 0.0000  4 Cu 2.47, 4 Ga 2.66

Output
M_tot	0.00	μB per formula unit
DFT formation energy	-0.281	eV per atom
DFT total energy	-4.3053	eV per atom

# 4
Entry from Alexandria via LeMat-Bulk: a geometry-optimized BaSnHgPb structure (PBE).

Cell lengths 4.8375, 4.8375, 7.4407 Å; angles 90.00, 90.00, 120.00 degrees
Last column: nearest neighbours and their distance in Å.
Space group P3m1 (No. 156)
One atom of each set of equivalent atoms:
Ba 0.0000 0.0000 0.0000  3 Sn 3.48, 3 Hg 3.54
Sn 0.3333 0.6667 0.2783  3 Pb 3.10, 1 Hg 3.19
Hg 0.3333 0.6667 0.7070  1 Sn 3.19, 3 Pb 3.35, 3 Ba 3.54
Pb 0.6667 0.3333 0.4583  3 Sn 3.10, 3 Hg 3.35

Output
M_tot	0.00	μB per formula unit
DFT formation energy	-0.341	eV per atom
DFT total energy	-2.8245	eV per atom

# 5
Entry from Alexandria via LeMat-Bulk: a geometry-optimized MnAuI6 structure (PBE).

Cell lengths 9.0157, 9.6668, 7.7668 Å; angles 90.00, 96.57, 90.00 degrees
Last column: nearest neighbours and their distance in Å.
Space group C2/m (No. 12)
One atom of each set of equivalent atoms:
Mn 0.0000 0.0000 0.0000  6 I 2.67-2.88
Au 0.0000 0.0000 0.5000  4 I 2.69
I 0.0706 0.1962 0.2770  1 Au 2.69, 1 Mn 2.88
I 0.2131 0.5000 0.0549  1 Mn 2.67

Output
M_tot	3.99	μB per formula unit
DFT total energy	-2.8731	eV per atom

# 6
Entry from Alexandria via LeMat-Bulk: a geometry-optimized KZnCd2Hg structure (PBE).

Cell lengths 5.2241, 5.2241, 5.4917 Å; angles 90.00, 90.00, 90.00 degrees
Last column: nearest neighbours and their distance in Å.
Space group P4/mmm (No. 123)
One atom of each set of equivalent atoms:
K 0.0000 0.0000 0.0000  4 Hg 3.69, 8 Cd 3.79
Zn 0.5000 0.5000 0.5000  4 Cd 2.61, 2 Hg 2.75
Cd 0.0000 0.5000 0.5000  2 Zn 2.61
Hg 0.5000 0.5000 0.0000  2 Zn 2.75

Output
M_tot	0.00	μB per formula unit
DFT formation energy	0.003	eV per atom
DFT total energy	-0.8975	eV per atom